No. 1
SrLu: optimized geometry, PBE-GGA.

Cell lengths 7.006, 7.006, 7.006 Å; angles 90.00, 90.00, 90.00 degrees
Positions (direct):
Sr: 0.000 0.000 0.000
Sr: 0.000 0.500 0.500
Sr: 0.500 0.000 0.500
Sr: 0.500 0.500 0.000
Lu: 0.000 0.000 0.500
Lu: 0.000 0.500 0.000
Lu: 0.500 0.000 0.000
Lu: 0.500 0.500 0.500

Space group   Fm-3m, No. 225
E above lowest polymorph   588 meV per atom

No. 2
Dy2YGe3PdPt2: optimized geometry, PBE-GGA.

Cell lengths 3.911, 7.242, 7.242 Å; angles 120.03, 90.00, 90.00 degrees
Positions (direct):
Dy: 0.000 0.203 0.797
Dy: 0.000 0.797 0.203
Y: 0.000 0.609 0.609
Ge: 0.500 0.203 0.459
Ge: 0.500 0.459 0.203
Ge: 0.500 0.948 0.948
Pd: 0.000 0.202 0.202
Pt: 0.500 0.536 0.871
Pt: 0.500 0.871 0.536

Space group   Amm2, No. 38
VASP energy   -56.0 eV for the cell shown

No. 3
YTmGa2Pd4: optimized geometry, PBE-GGA.

Cell lengths 4.391, 4.391, 9.028 Å; angles 90.00, 90.00, 120.00 degrees
Positions (direct):
Y: 0.000 0.000 0.000
Tm: 0.667 0.333 0.500
Ga: 0.333 0.667 0.252
Ga: 0.333 0.667 0.748
Pd: 0.000 0.000 0.336
Pd: 0.000 0.000 0.664
Pd: 0.667 0.333 0.172
Pd: 0.667 0.333 0.828

Space group   P-6m2, No. 187
E above lowest polymorph   0 meV per atom